! SrSi2Ru PBE optimized geometry; values from VASP
! energy relative to the elements, uncorrected: -96 meV/atom
&SYSTEM
  ibrav = 0, nat = 4, ntyp = 3
/
ATOMIC_SPECIES
Sr 87.62 Sr.upf
Si 28.09 Si.upf
Ru 101.07 Ru.upf
CELL_PARAMETERS angstrom
3.117 0.000 0.000
0.000 4.138 0.000
-0.946 0.000 6.120
ATOMIC_POSITIONS crystal
Sr 0.000 0.000 0.000
Si 0.351 0.500 0.674
Si 0.649 0.500 0.326
Ru 0.500 0.000 0.500


! ZnGaSO2 PBE optimized geometry; values from VASP
! energy relative to the elements, uncorrected: -47 meV/atom
&SYSTEM
  ibrav = 0, nat = 5, ntyp = 4
/
ATOMIC_SPECIES
Zn 65.41 Zn.upf
Ga 69.72 Ga.upf
S 32.06 S.upf
O 16.00 O.upf
CELL_PARAMETERS angstrom
3.646 0.000 0.000
0.000 3.646 0.000
0.000 0.000 7.392
ATOMIC_POSITIONS crystal
Zn 0.000 0.000 0.000
Ga 0.000 0.000 0.500
S 0.500 0.500 0.500
O 0.000 0.500 0.000
O 0.500 0.000 0.000


! LaSiNi PBE optimized geometry; values from VASP
! energy relative to the elements, uncorrected: 426 meV/atom
&SYSTEM
  ibrav = 0, nat = 3, ntyp = 3
/
ATOMIC_SPECIES
La 138.91 La.upf
Si 28.09 Si.upf
Ni 58.69 Ni.upf
CELL_PARAMETERS angstrom
0.000 3.341 3.341
3.341 0.000 3.341
3.341 3.341 0.000
ATOMIC_POSITIONS crystal
La 0.000 0.000 0.000
Si 0.750 0.750 0.750
Ni 0.250 0.250 0.250


! TaAl3H PBE optimized geometry; values from VASP
! energy above the most stable polymorph in this dataset: 7.16 eV/f.u.
&SYSTEM
  ibrav = 0, nat = 5, ntyp = 3
/
ATOMIC_SPECIES
Ta 180.95 Ta.upf
Al 26.98 Al.upf
H 1.01 H.upf
CELL_PARAMETERS angstrom
5.152 0.000 0.000
0.000 5.152 0.000
0.000 0.000 5.152
ATOMIC_POSITIONS crystal
Ta 0.000 0.000 0.000
Al 0.000 0.000 0.500
Al 0.000 0.500 0.000
Al 0.500 0.000 0.000
H 0.500 0.500 0.500


! AcPmCu PBE optimized geometry; values from VASP
! energy above the most stable polymorph in this dataset: 0.54 eV/f.u.
&SYSTEM
  ibrav = 0, nat = 12, ntyp = 3
/
ATOMIC_SPECIES
Ac 227.00 Ac.upf
Pm 145.00 Pm.upf
Cu 63.55 Cu.upf
CELL_PARAMETERS angstrom
0.000 5.182 7.260
5.116 0.000 7.260
5.116 5.182 0.000
ATOMIC_POSITIONS crystal
Ac 0.008 0.008 0.742
Ac 0.258 0.258 0.992
Ac 0.742 0.742 0.008
Ac 0.992 0.992 0.258
Pm 0.256 0.256 0.494
Pm 0.494 0.494 0.256
Pm 0.506 0.506 0.744
Pm 0.744 0.744 0.506
Cu 0.133 0.617 0.133
Cu 0.383 0.867 0.383
Cu 0.617 0.133 0.617
Cu 0.867 0.383 0.867


! Sr2Ca4Zn PBE optimized geometry; values from VASP
! VASP energy: -1.6929 eV per atom
&SYSTEM
  ibrav = 0, nat = 7, ntyp = 3
/
ATOMIC_SPECIES
Sr 87.62 Sr.upf
Ca 40.08 Ca.upf
Zn 65.41 Zn.upf
CELL_PARAMETERS angstrom
-2.895 2.895 9.733
2.895 -2.895 9.733
2.895 2.895 -9.733
ATOMIC_POSITIONS crystal
Sr 0.149 0.149 0.000
Sr 0.851 0.851 0.000
Ca 0.000 0.500 0.500
Ca 0.350 0.350 0.000
Ca 0.500 0.000 0.500
Ca 0.650 0.650 0.000
Zn 0.500 0.500 0.000


! K3TiNb2O9 PBE optimized geometry; values from VASP
! energy relative to the elements, uncorrected: -2369 meV/atom
&SYSTEM
  ibrav = 0, nat = 15, ntyp = 4
/
ATOMIC_SPECIES
K 39.10 K.upf
Ti 47.87 Ti.upf
Nb 92.91 Nb.upf
O 16.00 O.upf
CELL_PARAMETERS angstrom
5.698 0.000 0.000
-2.849 4.935 0.000
0.000 0.000 6.980
ATOMIC_POSITIONS crystal
K 0.000 0.000 0.000
K 0.333 0.667 0.667
K 0.667 0.333 0.333
Ti 0.000 0.000 0.500
Nb 0.333 0.667 0.175
Nb 0.667 0.333 0.825
O 0.000 0.500 0.000
O 0.165 0.331 0.336
O 0.165 0.835 0.336
O 0.331 0.165 0.664
O 0.500 0.000 0.000
O 0.500 0.500 0.000
O 0.669 0.835 0.336
O 0.835 0.165 0.664
O 0.835 0.669 0.664


! CaFeIr2 PBE optimized geometry; values from VASP
! energy above the most stable polymorph in this dataset: 0.76 eV/f.u.
&SYSTEM
  ibrav = 0, nat = 4, ntyp = 3
/
ATOMIC_SPECIES
Ca 40.08 Ca.upf
Fe 55.84 Fe.upf
Ir 192.22 Ir.upf
CELL_PARAMETERS angstrom
2.917 -3.859 0.000
2.917 3.859 0.000
0.000 0.000 2.842
ATOMIC_POSITIONS crystal
Ca 0.000 0.000 0.000
Fe 0.500 0.500 0.000
Ir 0.000 0.500 0.500
Ir 0.500 0.000 0.500


Short version: volume = 78.9, 98.3, 74.6, 136.7, 384.9, 326.4, 196.3, 64.0 Å³ per cell, in the order given.
Short version: Fermi-level density of states = 2.58, 2.55, 3.19, 5.29, 22.55, 9.53, 8.05, 4.14 states/eV per cell, in the order given.
Short version: size of the total moment = 0.0, 0.0, 0.0, 1.2, 0.0, 0.0, 0.4, 3.0 μB per cell, in the order given.